Entry 1:
Density functional theory data (GGA-PBEsol) for CaC3 after structural relaxation.

Values from the calculation:
Energy of formation from the pure elements ... 2.631 eV/atom

a = 3.4532 Å, b = 3.4532 Å, c = 3.4532 Å
α = 90.00°, β = 90.00°, γ = 90.00°
Closest atoms and distances in Å follow each position.
Space group Pm-3m (No. 221)
Inequivalent atoms, fractional coordinates:
Ca 0.0000 0.0000 0.0000 x1  12 C 2.44
C 0.0000 0.5000 0.5000 x3  4 Ca 2.44, 8 C 2.44



Entry 2:
Density functional theory data (GGA-PBEsol) for CaC after structural relaxation.

Values from the calculation:
Energy of formation from the pure elements ... 1.561 eV/atom

a = 6.5390 Å, b = 6.5390 Å, c = 3.3220 Å
α = 90.00°, β = 90.00°, γ = 120.00°
Closest atoms and distances in Å follow each position.
Space group P6/mmm (No. 191)
Inequivalent atoms, fractional coordinates:
Ca 0.0000 0.5000 0.0000 x3  4 C 2.51
C 0.0000 0.0000 0.0000 x1  6 Ca 3.27, 2 C 3.32
C 0.3333 0.6667 0.5000 x2  6 Ca 2.51